Entry from the Alexandria database: an optimized crystal structure of NaCr2F5 (PBE with a Hubbard U).

The structure belongs to space group Cmcm (No. 63); the cell edges are 4.019, 11.384 and 10.887 Å and the angles 90.00°, 90.00° and 90.00°. The inequivalent atoms are Na at (0.000, 0.199, 0.250), Cr at (0.000, 0.128, 0.573), F at (0.000, 0.070, 0.100), F at (0.000, 0.194, 0.750) and F at (0.000, 0.334, 0.072).

The value obtained for the total energy is -5.800 eV per atom. The value obtained for the total magnetization is 8.000 μB per formula unit.